Record 1
Compound: Al2SeCl
Source: the Alexandria database
Functional: PBE-GGA
Structure: relaxed

a = 3.492 Å, b = 3.492 Å, c = 9.393 Å
α = 90.00°, β = 90.00°, γ = 119.28°
Atoms (fractional coordinates):
Se (0.500, 0.500, 0.841)
Al (0.500, 0.500, 0.235)
Al (0.000, 0.000, 0.009)
Cl (0.000, 0.000, 0.415)

Results
DOS at the Fermi energy = 0.208 states/eV/atom
ΔE to the lowest computed polymorph = 0.232 eV/atom
E_form (uncorrected) = -1.61 eV per formula unit
total magnetic moment = 0.0 μB per cell

---

Record 2
Compound: LiNbV2
Source: the Alexandria database
Functional: PBE-GGA
Structure: relaxed

a = 4.377 Å, b = 4.377 Å, c = 4.377 Å
α = 60.00°, β = 60.00°, γ = 60.00°
Atoms (fractional coordinates):
V (0.750, 0.750, 0.750)
V (0.250, 0.250, 0.250)
Nb (0.500, 0.500, 0.500)
Li (0.000, 0.000, 0.000)

Results
DFT formation energy = 0.41 eV/atom
DOS at the Fermi energy = 1.423 states/eV/atom
ΔE to the lowest computed polymorph = 0.000 eV/atom
total magnetic moment = 0.0 μB per cell

---

Record 3
Compound: AgS
Source: the Alexandria database
Functional: PBE-GGA
Structure: relaxed

a = 8.563 Å, b = 8.563 Å, c = 5.012 Å
α = 90.00°, β = 90.00°, γ = 90.00°
Atoms (fractional coordinates):
S (0.142, 0.309, 0.000)
S (0.642, 0.809, 0.500)
S (0.691, 0.142, 0.000)
S (0.191, 0.642, 0.500)
S (0.358, 0.191, 0.500)
S (0.809, 0.358, 0.500)
S (0.309, 0.858, 0.000)
S (0.858, 0.691, 0.000)
Ag (0.586, 0.785, 0.000)
Ag (0.414, 0.215, 0.000)
Ag (0.785, 0.414, 0.000)
Ag (0.215, 0.586, 0.000)
Ag (0.914, 0.715, 0.500)
Ag (0.285, 0.914, 0.500)
Ag (0.715, 0.086, 0.500)
Ag (0.086, 0.285, 0.500)

Results
DOS at the Fermi energy = 0.388 states/eV/atom
E_form (uncorrected) = 0.14 eV per formula unit
total magnetic moment = 0.0 μB per cell

---

- total magnetic moment of number 3 (AgS)?
  0.0 μB per cell